# ZnW, relaxed, DFT PBE-GGA
data_ZnW
_chemical_formula_sum 'Zn1 W1'
_cell_length_a 2.672
_cell_length_b 2.672
_cell_length_c 4.253
_cell_angle_alpha 90.00
_cell_angle_beta 90.00
_cell_angle_gamma 90.00
_space_group_name_H-M_alt 'P 1'
_space_group_IT_number 1
loop_
_space_group_symop_operation_xyz
'x,y,z'
loop_
_atom_site_label
_atom_site_type_symbol
_atom_site_fract_x
_atom_site_fract_y
_atom_site_fract_z
Zn1 Zn 0.000 0.000 0.000
W1 W 0.500 0.500 0.500
# * ΔH_f (0 K): 0.647 eV/f.u.
# * space group: P4/mmm
# * energy above the lowest structure with this stoichiometry: 0.161 eV/atom
# * N(E_F): 0.978 states/eV/f.u.